[1]
# Na6VCl12, optimized geometry, DFT PBE-GGA
# V, Å³/atom: 28.049
# Uncorrected energy, eV per cell: -194.60
# Density of states at the Fermi level, states/eV/cell: 37.04
# Raw formation energy, eV/atom: -1.35
data_Na6VCl12
_cell_length_a 11.7703
_cell_length_b 11.7703
_cell_length_c 13.3255
_cell_angle_alpha 90.00
_cell_angle_beta 90.00
_cell_angle_gamma 120.00
_space_group_name_H-M_alt 'R -3'
_space_group_IT_number 148
_space_group_name_Hall '-R 3'
loop_
_atom_site_label
_atom_site_fract_x
_atom_site_fract_y
_atom_site_fract_z
_atom_site_occupancy
Na1 0.0311 0.2583 0.1105 1
V1 0.0000 0.0000 0.5000 1
Cl1 0.0251 0.2345 0.9019 1
Cl2 0.0637 0.1800 0.4009 1

***

[2]
# CrPb, optimized geometry, DFT PBE-GGA
# V, Å³/atom: 24.530
# Uncorrected energy, eV per cell: -69.86
# Density of states at the Fermi level, states/eV/cell: 9.08
# Energy of formation from the pure elements, eV per atom: 0.845
data_CrPb
_cell_length_a 3.2711
_cell_length_b 3.2711
_cell_length_c 31.7663
_cell_angle_alpha 90.00
_cell_angle_beta 90.00
_cell_angle_gamma 120.00
_space_group_name_H-M_alt 'R -3 m'
_space_group_IT_number 166
_space_group_name_Hall '-R 3 2"'
loop_
_atom_site_label
_atom_site_fract_x
_atom_site_fract_y
_atom_site_fract_z
_atom_site_occupancy
Cr1 0.0000 0.0000 0.1302 1
Pb1 0.0000 0.0000 0.3863 1

***

[3]
# MoIrRu2, optimized geometry, DFT PBE-GGA
# E above lowest polymorph, meV per atom: 125
# V, Å³/atom: 14.518
# Uncorrected energy, eV per cell: -76.82
# Density of states at the Fermi level, states/eV/cell: 7.61
# Energy of formation from the pure elements, eV per atom: -0.042
data_MoIrRu2
_cell_length_a 9.095
_cell_length_b 2.741
_cell_length_c 4.734
_cell_angle_alpha 90.00
_cell_angle_beta 100.18
_cell_angle_gamma 90.00
_space_group_name_H-M_alt 'C 1 m 1'
_space_group_IT_number 8
loop_
_space_group_symop_operation_xyz
'x,y,z'
'x,-y,z'
'x+1/2,y+1/2,z'
'x+1/2,-y+1/2,z'
loop_
_atom_site_label
_atom_site_fract_x
_atom_site_fract_y
_atom_site_fract_z
_atom_site_occupancy
Mo1 0.000 0.000 0.000 1
Ir1 0.250 0.500 0.248 1
Ru1 0.000 0.500 0.506 1
Ru2 0.248 0.000 0.742 1

***

[4]
# MnIn2Pb, optimized geometry, DFT PBE-GGA
# V, Å³/atom: 24.329
# Uncorrected energy, eV per cell: -17.52
# Density of states at the Fermi level, states/eV/cell: 2.47
# Energy of formation from the pure elements, eV per atom: 0.209
data_MnIn2Pb
_cell_length_a 3.277
_cell_length_b 3.277
_cell_length_c 9.064
_cell_angle_alpha 90.00
_cell_angle_beta 90.00
_cell_angle_gamma 90.00
_space_group_name_H-M_alt 'P 4 m m'
_space_group_IT_number 99
loop_
_space_group_symop_operation_xyz
'x,y,z'
'-y,x,z'
'-x,-y,z'
'y,-x,z'
'-x,y,z'
'y,x,z'
'x,-y,z'
'-y,-x,z'
loop_
_atom_site_label
_atom_site_fract_x
_atom_site_fract_y
_atom_site_fract_z
_atom_site_occupancy
Mn1 0.000 0.000 0.000 1
In1 0.000 0.000 0.536 1
In2 0.500 0.500 0.810 1
Pb1 0.500 0.500 0.218 1